(1)
The following is a PBE-GGA calculation of a relaxed Na8Cd6Pd crystal, from Alexandria via LeMat-Bulk.

a b c (Å): 9.0959 9.0959 16.4571
angles (deg): 90.00 90.00 120.00
Closest atoms and distances in Å follow each position.
Space group R-3 (No. 148, hexagonal axes)
Unique sites:
Na  0.0000  0.0000  0.1122 (multiplicity 6)  6 Cd 3.20-3.21
Na  0.0952  0.5469  0.3335 (multiplicity 18)  4 Cd 3.19-3.26, 4 Na 3.25-3.38, 1 Pd 3.33
Cd  0.9996  0.3237  0.5001 (multiplicity 18)  1 Pd 2.95, 3 Cd 2.95-3.20, 6 Na 3.19-3.26
Pd  0.0000  0.0000  0.5000 (multiplicity 3)  6 Cd 2.95

## Properties
- DFT formation energy: -0.084 eV per atom
- Volume: 26.2 A^3/atom

(2)
The following is a PBE-GGA calculation of a relaxed NaCd4Pd crystal, from Alexandria via LeMat-Bulk.

a b c (Å): 8.0421 8.0421 8.0421
angles (deg): 90.00 90.00 90.00
Closest atoms and distances in Å follow each position.
Space group F-43m (No. 216)
Unique sites:
Na  0.0000  0.0000  0.0000 (multiplicity 4)  12 Cd 3.34, 4 Pd 3.48
Cd  0.1245  0.1245  0.3755 (multiplicity 16)  6 Cd 2.83-2.86
Pd  0.2500  0.2500  0.7500 (multiplicity 4)  12 Cd 3.33, 4 Na 3.48

## Properties
- DFT formation energy: -0.045 eV per atom
- Volume: 21.7 A^3/atom
- E above lowest polymorph: 0.134 eV per atom

(3)
The following is a PBE-GGA calculation of a relaxed NaCdPd crystal, from Alexandria via LeMat-Bulk.

a b c (Å): 4.1528 5.2759 6.1221
angles (deg): 70.23 89.67 67.39
Closest atoms and distances in Å follow each position.
Space group P-1 (No. 2)
Unique sites:
Na  0.1702  0.1612  0.3348 (multiplicity 2)  5 Cd 2.89-3.14, 2 Na 2.91-2.94, 5 Pd 2.94-3.05
Cd  0.1473  0.2015  0.8316 (multiplicity 2)  5 Pd 2.89-3.19, 5 Na 2.89-3.14, 2 Cd 3.04-3.11
Pd  0.5000  0.5000  0.0000 (multiplicity 1)  6 Cd 2.93-3.19, 4 Na 2.94-2.98, 2 Pd 3.06
Pd  0.5000  0.5000  0.5000 (multiplicity 1)  4 Cd 2.89-2.91, 6 Na 3.00-3.05, 2 Pd 3.06

## Properties
- DFT formation energy: -0.194 eV per atom
- Volume: 19.2 A^3/atom
- E above lowest polymorph: 0.097 eV per atom

(4)
The following is a PBE-GGA calculation of a relaxed NaCd12Pd6 crystal, from Alexandria via LeMat-Bulk.

a b c (Å): 12.5697 12.5697 9.0599
angles (deg): 90.00 90.00 120.00
Closest atoms and distances in Å follow each position.
Space group R-3m (No. 166, hexagonal axes)
Unique sites:
Na  0.0000  0.0000  0.0000 (multiplicity 3)  6 Cd 3.29
Cd  0.0000  0.3828  0.5000 (multiplicity 18)  4 Pd 2.79-2.81, 3 Cd 2.95-2.97
Cd  0.0846  0.1692  0.3012 (multiplicity 18)  3 Pd 2.76-2.81, 2 Cd 2.97
Pd  0.0611  0.5305  0.2466 (multiplicity 18)  7 Cd 2.76-2.81

## Properties
- DFT formation energy: -0.190 eV per atom
- Volume: 21.7 A^3/atom

(5)
The following is a PBE-GGA calculation of a relaxed NaCd2Pd crystal, from Alexandria via LeMat-Bulk.

a b c (Å): 6.7952 6.7952 6.7952
angles (deg): 90.00 90.00 90.00
Closest atoms and distances in Å follow each position.
Space group Fm-3m (No. 225)
Unique sites:
Na  0.0000  0.0000  0.0000 (multiplicity 4)  8 Cd 2.94
Cd  0.2500  0.2500  0.2500 (multiplicity 8)  4 Na 2.94, 4 Pd 2.94
Pd  0.0000  0.0000  0.5000 (multiplicity 4)  8 Cd 2.94

## Properties
- DFT formation energy: -0.224 eV per atom
- Volume: 19.6 A^3/atom

(6)
The following is a PBE-GGA calculation of a relaxed Na4CdPd crystal, from Alexandria via LeMat-Bulk.

a b c (Å): 5.5397 9.9150 11.8299
angles (deg): 90.00 102.82 90.00
Closest atoms and distances in Å follow each position.
Space group C2/m (No. 12)
Unique sites:
Na  0.0000  0.1642  0.0000 (multiplicity 4)  5 Na 3.25-3.29, 4 Cd 3.49-3.60
Na  0.1473  0.1673  0.2852 (multiplicity 8)  2 Pd 2.95-2.96, 3 Na 3.22-3.29
Na  0.2125  0.5000  0.4209 (multiplicity 4)  4 Pd 2.98-2.99, 2 Na 3.32
Cd  0.0742  0.5000  0.1293 (multiplicity 4)  1 Cd 2.99
Pd  0.0000  0.2504  0.5000 (multiplicity 4)  2 Pd 2.77, 8 Na 2.95-2.99

## Properties
- DFT formation energy: -0.066 eV per atom
- Volume: 26.4 A^3/atom

(7)
The following is a PBE-GGA calculation of a relaxed Na2CdPd3 crystal, from Alexandria via LeMat-Bulk.

a b c (Å): 4.9292 5.4929 8.6013
angles (deg): 90.00 90.00 90.00
Closest atoms and distances in Å follow each position.
Space group Immm (No. 71)
Unique sites:
Na  0.0000  0.0000  0.1624 (multiplicity 4)  6 Pd 2.75-2.89, 1 Na 2.79, 1 Cd 2.90
Cd  0.0000  0.0000  0.5000 (multiplicity 2)  6 Pd 2.75-2.83, 2 Na 2.90
Pd  0.0000  0.5000  0.1619 (multiplicity 4)  4 Na 2.75-2.89, 2 Pd 2.78-2.91, 2 Cd 2.83
Pd  0.0000  0.5000  0.5000 (multiplicity 2)  2 Cd 2.75, 4 Na 2.83, 2 Pd 2.91

## Properties
- DFT formation energy: 0.043 eV per atom
- Volume: 19.4 A^3/atom
- E above lowest polymorph: 0.305 eV per atom

(8)
The following is a PBE-GGA calculation of a relaxed NaCd2Pd crystal, from Alexandria via LeMat-Bulk.

a b c (Å): 2.9038 5.0487 12.5629
angles (deg): 90.00 90.00 90.00
Closest atoms and distances in Å follow each position.
Space group Immm (No. 71)
Unique sites:
Na  0.0000  0.0000  0.0000 (multiplicity 2)  2 Na 2.90, 4 Pd 2.91
Cd  0.0000  0.0000  0.2867 (multiplicity 4)  1 Pd 2.68, 2 Cd 2.90
Pd  0.0000  0.0000  0.5000 (multiplicity 2)  2 Cd 2.68, 2 Pd 2.90, 4 Na 2.91

## Properties
- DFT formation energy: -0.027 eV per atom
- Volume: 23.0 A^3/atom